(1)
Material: Ba2ScSn3Pt4
Method: DFT, PBE
State: relaxed

Computed properties:
- space-group type = P-4m2
- crystal system = tetragonal
- DFT formation energy (eV/atom) = -0.848

Unit cell a=4.715 b=4.715 c=11.092 alpha=90.00 beta=90.00 gamma=90.00
Fractional coordinates of all 10 atoms:
Ba1 0.000 0.500 0.241
Ba2 0.500 0.000 0.759
Sc1 0.000 0.000 0.500
Sn1 0.000 0.500 0.878
Sn2 0.500 0.000 0.122
Sn3 0.500 0.500 0.500
Pt1 0.000 0.000 0.000
Pt2 0.000 0.500 0.631
Pt3 0.500 0.000 0.369
Pt4 0.500 0.500 0.000

(2)
Material: BaSc2PtW
Method: DFT, PBE
State: relaxed

Computed properties:
- space-group type = P4/mmm
- crystal system = tetragonal
- DFT formation energy (eV/atom) = 2.102

Unit cell a=5.160 b=5.160 c=5.119 alpha=90.00 beta=90.00 gamma=90.00
Fractional coordinates of all 5 atoms:
Ba1 0.000 0.000 0.000
Sc1 0.000 0.500 0.000
Sc2 0.500 0.000 0.000
Pt1 0.000 0.000 0.500
W1 0.500 0.500 0.500

(3)
Material: BaZrSc2Pt
Method: DFT, PBE
State: relaxed

Computed properties:
- space-group type = P4/mmm
- crystal system = tetragonal
- DFT formation energy (eV/atom) = 0.268

Unit cell a=5.378 b=5.378 c=5.127 alpha=90.00 beta=90.00 gamma=90.00
Fractional coordinates of all 5 atoms:
Ba1 0.000 0.000 0.000
Zr1 0.500 0.500 0.500
Sc1 0.000 0.500 0.500
Sc2 0.500 0.000 0.500
Pt1 0.500 0.500 0.000

(4)
Material: Ba6Pt2Se
Method: DFT, PBE
State: relaxed

Computed properties:
- energy relative to the elements, uncorrected (eV/atom) = -0.809
- space-group type = R3
- crystal system = trigonal

Unit cell a=8.904 b=8.904 c=8.904 alpha=53.49 beta=53.49 gamma=53.49
Fractional coordinates of all 9 atoms:
Ba1 0.006 0.329 0.665
Ba2 0.158 0.858 0.476
Ba3 0.329 0.665 0.006
Ba4 0.476 0.158 0.858
Ba5 0.665 0.006 0.329
Ba6 0.858 0.476 0.158
Pt1 0.076 0.076 0.076
Pt2 0.253 0.253 0.253
Se1 0.749 0.749 0.749

(5)
Material: Ba3Pt5Se12
Method: DFT, PBE
State: relaxed

Computed properties:
- energy relative to the elements, uncorrected (eV/atom) = -0.566
- space-group type = Ia-3d
- crystal system = cubic

Unit cell a=14.219 b=14.219 c=14.219 alpha=109.47 beta=109.47 gamma=109.47
Fractional coordinates of all 80 atoms:
Ba1 0.125 0.250 0.375
Ba2 0.125 0.375 0.750
Ba3 0.250 0.375 0.125
Ba4 0.250 0.875 0.625
Ba5 0.375 0.125 0.250
Ba6 0.375 0.750 0.125
Ba7 0.625 0.250 0.875
Ba8 0.625 0.875 0.750
Ba9 0.750 0.125 0.375
Ba10 0.750 0.625 0.875
Ba11 0.875 0.625 0.250
Ba12 0.875 0.750 0.625
Pt1 0.000 0.000 0.000
Pt2 0.000 0.000 0.500
Pt3 0.000 0.500 0.000
Pt4 0.000 0.500 0.500
Pt5 0.125 0.750 0.875
Pt6 0.125 0.875 0.250
Pt7 0.250 0.125 0.875
Pt8 0.250 0.625 0.375
Pt9 0.375 0.250 0.625
Pt10 0.375 0.625 0.750
Pt11 0.500 0.000 0.000
Pt12 0.500 0.000 0.500
Pt13 0.500 0.500 0.000
Pt14 0.500 0.500 0.500
Pt15 0.625 0.375 0.250
Pt16 0.625 0.750 0.375
Pt17 0.750 0.375 0.625
Pt18 0.750 0.875 0.125
Pt19 0.875 0.125 0.750
Pt20 0.875 0.250 0.125
Se1 0.016 0.196 0.105
Se2 0.016 0.321 0.912
Se3 0.088 0.605 0.409
Se4 0.088 0.984 0.679
Se5 0.091 0.696 0.679
Se6 0.091 0.895 0.412
Se7 0.105 0.016 0.196
Se8 0.105 0.588 0.909
Se9 0.179 0.196 0.591
Se10 0.179 0.484 0.588
Se11 0.196 0.105 0.016
Se12 0.196 0.591 0.179
Se13 0.304 0.321 0.909
Se14 0.304 0.484 0.395
Se15 0.321 0.909 0.304
Se16 0.321 0.912 0.016
Se17 0.395 0.304 0.484
Se18 0.395 0.591 0.912
Se19 0.409 0.088 0.605
Se20 0.409 0.821 0.804
Se21 0.412 0.091 0.895
Se22 0.412 0.821 0.516
Se23 0.484 0.395 0.304
Se24 0.484 0.588 0.179
Se25 0.516 0.412 0.821
Se26 0.516 0.605 0.696
Se27 0.588 0.179 0.484
Se28 0.588 0.909 0.105
Se29 0.591 0.179 0.196
Se30 0.591 0.912 0.395
Se31 0.605 0.409 0.088
Se32 0.605 0.696 0.516
Se33 0.679 0.088 0.984
Se34 0.679 0.091 0.696
Se35 0.696 0.516 0.605
Se36 0.696 0.679 0.091
Se37 0.804 0.409 0.821
Se38 0.804 0.895 0.984
Se39 0.821 0.516 0.412
Se40 0.821 0.804 0.409
Se41 0.895 0.412 0.091
Se42 0.895 0.984 0.804
Se43 0.909 0.105 0.588
Se44 0.909 0.304 0.321
Se45 0.912 0.016 0.321
Se46 0.912 0.395 0.591
Se47 0.984 0.679 0.088
Se48 0.984 0.804 0.895

(6)
Material: BaPt3Se
Method: DFT, PBE
State: relaxed

Computed properties:
- energy above the most stable polymorph in this dataset (eV per atom) = 0.000
- energy relative to the elements, uncorrected (eV/atom) = -0.258
- space-group type = Pm-3m
- crystal system = cubic

Unit cell a=4.896 b=4.896 c=4.896 alpha=90.00 beta=90.00 gamma=90.00
Fractional coordinates of all 5 atoms:
Ba1 0.000 0.000 0.000
Pt1 0.000 0.500 0.500
Pt2 0.500 0.000 0.500
Pt3 0.500 0.500 0.000
Se1 0.500 0.500 0.500

(7)
Material: BaPt3Se
Method: DFT, PBE
State: relaxed

Computed properties:
- energy above the most stable polymorph in this dataset (eV per atom) = 2.013
- energy relative to the elements, uncorrected (eV/atom) = 1.755
- space-group type = Pm-3m
- crystal system = cubic

Unit cell a=5.367 b=5.367 c=5.367 alpha=90.00 beta=90.00 gamma=90.00
Fractional coordinates of all 5 atoms:
Ba1 0.000 0.000 0.000
Pt1 0.000 0.000 0.500
Pt2 0.000 0.500 0.000
Pt3 0.500 0.000 0.000
Se1 0.500 0.500 0.500

(8)
Material: Ba4PtSe
Method: DFT, PBE
State: relaxed

Computed properties:
- energy relative to the elements, uncorrected (eV/atom) = 0.217
- space-group type = F-43m
- crystal system = cubic

Unit cell a=6.882 b=6.882 c=6.882 alpha=60.00 beta=60.00 gamma=60.00
Fractional coordinates of all 6 atoms:
Ba1 0.125 0.125 0.125
Ba2 0.125 0.125 0.625
Ba3 0.125 0.625 0.125
Ba4 0.625 0.125 0.125
Pt1 0.750 0.750 0.750
Se1 0.500 0.500 0.500

(9)
Material: BaPt2Se2
Method: DFT, PBE
State: relaxed

Computed properties:
- energy relative to the elements, uncorrected (eV/atom) = -0.582
- space-group type = I4/mmm
- crystal system = tetragonal

Unit cell a=6.610 b=6.610 c=6.610 alpha=140.40 beta=140.40 gamma=57.24
Fractional coordinates of all 5 atoms:
Ba1 0.000 0.000 0.000
Pt1 0.250 0.750 0.500
Pt2 0.750 0.250 0.500
Se1 0.364 0.364 0.000
Se2 0.636 0.636 0.000

(10)
Material: Ba2TlPtSe
Method: DFT, PBE
State: relaxed

Computed properties:
- energy relative to the elements, uncorrected (eV/atom) = -0.553
- space-group type = P4/mmm
- crystal system = tetragonal

Unit cell a=6.287 b=6.287 c=4.814 alpha=90.00 beta=90.00 gamma=90.00
Fractional coordinates of all 5 atoms:
Ba1 0.000 0.500 0.000
Ba2 0.500 0.000 0.000
Tl1 0.000 0.000 0.500
Pt1 0.500 0.500 0.000
Se1 0.500 0.500 0.500

(11)
Material: BaTlPtSe2
Method: DFT, PBE
State: relaxed

Computed properties:
- energy relative to the elements, uncorrected (eV/atom) = -0.367
- space-group type = P4/mmm
- crystal system = tetragonal

Unit cell a=5.263 b=5.263 c=5.593 alpha=90.00 beta=90.00 gamma=90.00
Fractional coordinates of all 5 atoms:
Ba1 0.000 0.000 0.000
Tl1 0.500 0.500 0.000
Pt1 0.000 0.000 0.500
Se1 0.000 0.500 0.500
Se2 0.500 0.000 0.500

(12)
Material: BaZrPtSe2
Method: DFT, PBE
State: relaxed

Computed properties:
- energy relative to the elements, uncorrected (eV/atom) = -0.336
- space-group type = P4/mmm
- crystal system = tetragonal

Unit cell a=5.416 b=5.416 c=4.963 alpha=90.00 beta=90.00 gamma=90.00
Fractional coordinates of all 5 atoms:
Ba1 0.000 0.000 0.000
Zr1 0.500 0.500 0.000
Pt1 0.500 0.500 0.500
Se1 0.000 0.500 0.500
Se2 0.500 0.000 0.500

no.,volume (Å³/f.u.),DOS at the Fermi energy (states/eV/cell),energy (eV/atom)
1,246.6,4.917,-5.4832
2,136.3,4.690,-4.6144
3,148.3,8.772,-5.5665
4,423.1,7.902,-3.8199
5,553.3,80.303,-4.4552
6,117.3,0.401,-4.9639
7,154.6,4.950,-2.9512
8,230.5,6.416,-2.6525
9,116.3,3.163,-4.7766
10,190.3,4.655,-3.7008
11,154.9,2.643,-3.8270
12,145.6,3.345,-5.0324